P.
A plane-wave DFT calculation with PBE was carried out for crystalline Pu3P2O at its relaxed geometry.

POSCAR file:
```
Pu3P2O
1.0
-4.516 -2.686 -2.984
0.934 -0.700 -6.901
5.005 -12.670 1.449
O P Pu
4 8 12
Direct
0.291 0.997 0.837
0.288 0.003 0.337
0.712 0.997 0.663
0.709 0.003 0.163
0.003 0.413 0.154
0.330 0.807 0.074
0.670 0.193 0.926
0.138 0.193 0.574
0.997 0.587 0.846
0.584 0.413 0.346
0.416 0.587 0.654
0.862 0.807 0.426
0.501 0.629 0.874
0.870 0.629 0.626
0.664 0.202 0.527
0.130 0.371 0.374
0.618 0.764 0.250
0.975 0.050 0.250
0.865 0.798 0.027
0.025 0.950 0.750
0.499 0.371 0.126
0.336 0.798 0.473
0.135 0.202 0.973
0.382 0.236 0.750
```


Q.
A plane-wave DFT calculation with PBE was carried out for crystalline Pu3P2O at its relaxed geometry.

POSCAR file:
```
Pu3P2O
1.0
-5.510 -0.243 0.599
0.613 -7.093 2.763
3.087 4.009 4.330
O Pu P
2 6 4
Direct
0.046 0.250 0.000
0.954 0.750 0.000
0.524 0.750 0.000
0.147 0.573 0.293
0.476 0.250 0.000
0.854 0.927 0.707
0.146 0.073 0.293
0.853 0.427 0.707
0.324 0.412 0.650
0.674 0.088 0.350
0.676 0.588 0.350
0.326 0.912 0.650
```


Energetically preferred structure: Q | next structure: +137 meV/atom